Compound: Nb4CdSN2
Source: the Open Quantum Materials Database
Functional: PBE
Structure: optimized geometry

Values from the calculation:
Final energy (eV per atom): -8.4131
Crystal system: hexagonal
ρ (g/cm³): 7.68

abc: 3.2343 3.2343 12.9816
angles: 90.00 90.00 120.00
Fractional coordinates of all 8 atoms:
Nb (0.0000, 0.0000, 0.1380)
Nb (0.0000, 0.0000, 0.8620)
Nb (0.3333, 0.6667, 0.3127)
Nb (0.3333, 0.6667, 0.6873)
Cd (0.0000, 0.0000, 0.5000)
S (0.3333, 0.6667, 0.0000)
N (0.6667, 0.3333, 0.2322)
N (0.6667, 0.3333, 0.7678)


Compound: NiSn2Te
Source: the Open Quantum Materials Database
Functional: PBE
Structure: optimized geometry

Values from the calculation:
Final energy (eV per atom): -3.8264
Crystal system: cubic
ρ (g/cm³): 7.59

abc: 5.0799 5.0799 5.0799
angles: 60.00 60.00 60.00
Fractional coordinates of all 4 atoms:
Ni (0.0000, 0.0000, 0.0000)
Sn (0.2500, 0.2500, 0.2500)
Sn (0.5000, 0.5000, 0.5000)
Te (0.7500, 0.7500, 0.7500)


Compound: Pr2Zr2O5
Source: the Open Quantum Materials Database
Functional: PBE
Structure: optimized geometry

Values from the calculation:
Energy above the lowest structure with this stoichiometry (meV/atom): 0
Crystal system: tetragonal
ρ (g/cm³): 6.92

abc: 4.1791 4.1791 7.4741
angles: 90.00 90.00 90.00
Fractional coordinates of all 9 atoms:
Pr (0.0000, 0.0000, 0.0000)
Pr (0.0000, 0.0000, 0.5000)
Zr (0.5000, 0.5000, 0.2186)
Zr (0.5000, 0.5000, 0.7814)
O (0.0000, 0.5000, 0.2522)
O (0.0000, 0.5000, 0.7478)
O (0.5000, 0.0000, 0.2522)
O (0.5000, 0.0000, 0.7478)
O (0.5000, 0.5000, 0.5000)